# RbVI2O8

A relaxed RbVI2O8 crystal (PBE with a Hubbard U, the Alexandria database).

Calculated values
N(E_F) = 0.0000 states/eV/atom
E above lowest polymorph = 183 kJ/mol of formula units

The structure in CIF format:
```
data_RbVI2O8
_chemical_formula_sum 'Rb2 V2 I4 O16'
_space_group_name_H-M_alt 'C 1 2/m 1'
_space_group_IT_number 12
_space_group_name_Hall '-C 2y'
_cell_length_a 11.962
_cell_length_b 5.462
_cell_length_c 6.640
_cell_angle_alpha 90.00
_cell_angle_beta 109.72
_cell_angle_gamma 90.00
loop_
_atom_site_label
_atom_site_type_symbol
_atom_site_fract_x
_atom_site_fract_y
_atom_site_fract_z
_atom_site_occupancy
Rb1 Rb 0.000 0.000 0.000 1
V1 V 0.000 0.500 0.500 1
I1 I 0.211 0.000 0.664 1
O1 O 0.081 0.500 0.322 1
O2 O 0.106 0.245 0.691 1
O3 O 0.185 0.000 0.381 1
```